(1)
This record from OQMD via LeMat-Bulk describes YIn2Pd after structural relaxation. The functional is PBE.

Its crystal system is cubic. The calculation puts the total moment at 0.00 μB/cell.

Cell lengths 4.986, 4.986, 4.986 Å; angles 60.00, 60.00, 60.00 degrees
Fractional coordinates of all 4 atoms:
In 0.000 0.000 0.000
In 0.250 0.250 0.250
Pd 0.750 0.750 0.750
Y 0.500 0.500 0.500


(2)
This record from OQMD via LeMat-Bulk describes HfB4W after structural relaxation. The functional is PBE.

Its crystal system is hexagonal. The calculation puts the total moment at 0.01 μB/cell. The value obtained for the polymorph energy (0 for the lowest one) is 24 meV/atom.

Cell lengths 3.108, 3.108, 6.699 Å; angles 90.00, 90.00, 120.00 degrees
Fractional coordinates of all 6 atoms:
B 0.667 0.333 0.244
B 0.333 0.667 0.244
B 0.667 0.333 0.756
B 0.333 0.667 0.756
Hf 0.000 0.000 0.500
W 0.000 0.000 0.000


(3)
This record from OQMD via LeMat-Bulk describes TaBeB after structural relaxation. The functional is PBE.

Its crystal system is cubic. The calculation puts the total moment at 0.00 μB/cell. The value obtained for the polymorph energy (0 for the lowest one) is 1487 meV/atom.

Cell lengths 3.797, 3.797, 3.797 Å; angles 60.00, 60.00, 60.00 degrees
Fractional coordinates of all 3 atoms:
B 0.250 0.250 0.250
Be 0.750 0.750 0.750
Ta 0.000 0.000 0.000


(4)
This record from OQMD via LeMat-Bulk describes LiTmNi after structural relaxation. The functional is PBE.

Its crystal system is cubic. The calculation puts the total moment at 0.00 μB/cell. The value obtained for the polymorph energy (0 for the lowest one) is 0 meV/atom.

Cell lengths 4.420, 4.420, 4.420 Å; angles 60.00, 60.00, 60.00 degrees
Fractional coordinates of all 3 atoms:
Li 0.250 0.250 0.250
Ni 0.000 0.000 0.000
Tm 0.750 0.750 0.750


(5)
This record from OQMD via LeMat-Bulk describes Gd4Ga2Br after structural relaxation. The functional is PBE.

Its crystal system is orthorhombic. The calculation puts the total moment at 0.01 μB/cell.

Cell lengths 7.322, 7.322, 3.803 Å; angles 90.00, 90.00, 105.23 degrees
Fractional coordinates of all 7 atoms:
Br 0.000 0.000 0.000
Ga 0.500 0.000 0.500
Ga 0.000 0.500 0.500
Gd 0.741 0.259 0.000
Gd 0.259 0.741 0.000
Gd 0.274 0.274 0.499
Gd 0.726 0.726 0.501


(6)
This record from OQMD via LeMat-Bulk describes ZrNb after structural relaxation. The functional is PBE.

Its crystal system is monoclinic. The calculation puts the total moment at 0.05 μB/cell.

Cell lengths 5.664, 8.454, 4.890 Å; angles 90.00, 90.00, 60.67 degrees
Fractional coordinates of all 10 atoms:
Nb 0.698 0.459 0.000
Nb 0.143 0.655 0.000
Nb 0.565 0.824 0.000
Nb 0.525 0.371 0.500
Nb 0.340 0.742 0.500
Zr 0.959 0.045 0.000
Zr 0.330 0.255 0.000
Zr 0.112 0.142 0.500
Zr 0.930 0.551 0.500
Zr 0.729 0.956 0.500


(7)
This record from OQMD via LeMat-Bulk describes Cd2Bi2O5 after structural relaxation. The functional is PBE.

Its crystal system is tetragonal. The value obtained for the polymorph energy (0 for the lowest one) is 0 meV/atom.

Cell lengths 9.105, 4.055, 4.055 Å; angles 90.00, 90.00, 90.00 degrees
Fractional coordinates of all 9 atoms:
Bi 0.249 0.500 0.500
Bi 0.751 0.500 0.500
Cd 0.000 0.000 0.000
Cd 0.500 0.000 0.000
O 0.156 0.500 0.000
O 0.844 0.500 0.000
O 0.156 0.000 0.500
O 0.844 0.000 0.500
O 0.500 0.500 0.500


(8)
This record from OQMD via LeMat-Bulk describes Nb2NiSn after structural relaxation. The functional is PBE.

Its crystal system is cubic. The calculation puts the total moment at 0.00 μB/cell.

Cell lengths 4.605, 4.605, 4.605 Å; angles 60.00, 60.00, 60.00 degrees
Fractional coordinates of all 4 atoms:
Nb 0.000 0.000 0.000
Nb 0.750 0.750 0.750
Ni 0.250 0.250 0.250
Sn 0.500 0.500 0.500


no.,calculated total energy (eV/atom)
1,-4.7769
2,-8.8246
3,-6.6216
4,-4.0254
5,-4.3304
6,-9.2370
7,-4.6307
8,-7.2829